# 1
Entry from Alexandria: crystalline V4TcGe4 at its relaxed geometry (PBE).

Cell lengths 7.435, 7.435, 4.873 Å; angles 90.00, 90.00, 90.00 degrees
Space group I4/m (No. 87)
Asymmetric unit:
V 0.120 0.793 0.000 (multiplicity 8)
Tc 0.000 0.000 0.500 (multiplicity 2)
Ge 0.054 0.665 0.500 (multiplicity 8)

**Crystal system**: tetragonal
**Formation energy**: 1.1 eV/f.u.
**Uncorrected energy**: -7.137 eV/atom

=====

# 2
Entry from Alexandria: crystalline Sm2PuCuTe5 at its relaxed geometry (PBE).

Cell lengths 4.300, 19.056, 12.956 Å; angles 90.00, 90.00, 90.00 degrees
Space group Cmc2_1 (No. 36)
Asymmetric unit:
Sm 0.000 0.109 0.000 (multiplicity 4)
Sm 0.000 0.123 0.622 (multiplicity 4)
Pu 0.000 0.196 0.324 (multiplicity 4)
Cu 0.000 0.429 0.776 (multiplicity 4)
Te 0.000 0.043 0.382 (multiplicity 4)
Te 0.000 0.289 0.992 (multiplicity 4)
Te 0.000 0.315 0.655 (multiplicity 4)
Te 0.000 0.360 0.316 (multiplicity 4)
Te 0.000 0.500 0.102 (multiplicity 4)

**Crystal system**: orthorhombic
**Uncorrected energy**: -5.890 eV/atom
**Formation energy without anion corrections**: -1.05 eV/atom

=====

# 3
Entry from Alexandria: crystalline HAuS at its relaxed geometry (PBE).

Cell lengths 3.716, 3.716, 7.293 Å; angles 90.00, 90.00, 90.00 degrees
Space group I4mm (No. 107)
Asymmetric unit:
H 0.000 0.000 0.000 (multiplicity 2)
Au 0.000 0.000 0.696 (multiplicity 2)
S 0.000 0.000 0.191 (multiplicity 2)

**Crystal system**: tetragonal
**Uncorrected energy**: -3.475 eV/atom

=====

# 4
Entry from Alexandria: crystalline Fe3Ir at its relaxed geometry (PBE).

Cell lengths 4.754, 4.754, 4.754 Å; angles 90.00, 90.00, 90.00 degrees
Space group Pm-3m (No. 221)
Asymmetric unit:
Fe 0.000 0.000 0.500 (multiplicity 3)
Ir 0.000 0.000 0.000 (multiplicity 1)

**Crystal system**: cubic
**Formation energy**: 6.7 eV/f.u.
**Uncorrected energy**: -6.882 eV/atom

=====

# 5
Entry from Alexandria: crystalline InGe3N at its relaxed geometry (PBE).

Cell lengths 5.180, 5.180, 5.180 Å; angles 90.00, 90.00, 90.00 degrees
Space group Pm-3m (No. 221)
Asymmetric unit:
In 0.000 0.000 0.000 (multiplicity 1)
Ge 0.000 0.000 0.500 (multiplicity 3)
N 0.500 0.500 0.500 (multiplicity 1)

**Crystal system**: cubic
**Uncorrected energy**: -2.999 eV/atom
**Formation energy without anion corrections**: 1.98 eV/atom

=====

# 6
Entry from Alexandria: crystalline Li2TlCr at its relaxed geometry (PBE).

Cell lengths 3.437, 3.437, 6.290 Å; angles 90.00, 90.00, 90.00 degrees
Space group P4/mmm (No. 123)
Asymmetric unit:
Li 0.000 0.000 0.241 (multiplicity 2)
Tl 0.500 0.500 0.500 (multiplicity 1)
Cr 0.500 0.500 0.000 (multiplicity 1)

**Crystal system**: tetragonal
**Formation energy**: 1.1 eV/f.u.
**Uncorrected energy**: -3.691 eV/atom

=====

# 7
Entry from Alexandria: crystalline KSb2SI at its relaxed geometry (PBE).

Cell lengths 5.142, 5.142, 8.660 Å; angles 90.00, 90.00, 90.00 degrees
Space group P4/mmm (No. 123)
Asymmetric unit:
K 0.000 0.000 0.000 (multiplicity 1)
Sb 0.000 0.500 0.500 (multiplicity 2)
S 0.500 0.500 0.500 (multiplicity 1)
I 0.500 0.500 0.000 (multiplicity 1)

**Crystal system**: tetragonal
**Uncorrected energy**: -3.064 eV/atom
**Formation energy without anion corrections**: -0.06 eV/atom

=====

# 8
Entry from Alexandria: crystalline Pr7Dy2Th2 at its relaxed geometry (PBE).

Cell lengths 11.466, 11.652, 6.213 Å; angles 90.00, 112.10, 90.00 degrees
Space group C2/m (No. 12)
Asymmetric unit:
Pr 0.000 0.000 0.000 (multiplicity 2)
Pr 0.177 0.238 0.171 (multiplicity 8)
Pr 0.232 0.000 0.588 (multiplicity 4)
Dy 0.000 0.225 0.500 (multiplicity 4)
Th 0.074 0.500 0.802 (multiplicity 4)

**Crystal system**: monoclinic
**Formation energy**: 1.9 eV/f.u.
**Uncorrected energy**: -5.053 eV/atom